(1)
DFT (PBE-GGA) results for a relaxed structure of RbNpAg2Te4.

E_form (uncorrected): -0.2688 eV/atom
total magnetic moment: 0.442 μB/atom

Cell: 7.212 7.212 7.212 Å, 125.04 105.40 99.22°
Sites, in units of the cell vectors:
Rb  0.000  0.000  0.000
Np  0.500  0.500  0.000
Ag  0.345  0.845  0.500
Ag  0.655  0.155  0.500
Te  0.079  0.099  0.576
Te  0.477  0.901  0.980
Te  0.523  0.503  0.424
Te  0.921  0.497  0.020

(2)
DFT (PBE-GGA) results for a relaxed structure of Pm2Tm2Sc.

total magnetic moment: 0.000 μB/atom
energy of formation from the pure elements: 0.0321 eV per atom

Cell: 8.333 8.333 6.650 Å, 102.68 102.68 43.36°
Sites, in units of the cell vectors:
Pm  0.016  0.185  0.451
Pm  0.185  0.016  0.951
Pm  0.815  0.984  0.049
Pm  0.984  0.815  0.549
Tm  0.223  0.383  0.852
Tm  0.383  0.223  0.352
Tm  0.617  0.777  0.648
Tm  0.777  0.617  0.148
Sc  0.420  0.580  0.250
Sc  0.580  0.420  0.750

(3)
DFT (PBE-GGA) results for a relaxed structure of Tb4In3Ga.

total magnetic moment: 0.000 μB/atom
energy of formation from the pure elements: -0.4659 eV per atom

Cell: 4.277 4.546 11.402 Å, 90.00 90.00 90.00°
Sites, in units of the cell vectors:
Tb  0.000  0.000  0.000
Tb  0.000  0.500  0.485
Tb  0.500  0.000  0.713
Tb  0.500  0.500  0.218
In  0.000  0.500  0.766
In  0.500  0.000  0.430
In  0.500  0.500  0.940
Ga  0.000  0.000  0.269

Among the records above, which one has the highest total magnetic moment? RbNpAg2Te4

Number 3 is which compound? Tb4In3Ga

Number 1 is which compound? RbNpAg2Te4

Among the records above, which one has the highest total magnetic moment? RbNpAg2Te4